Entry from Alexandria: MgFeF2 after structural relaxation (GGA+U).

Cell and atoms, written as POSCAR:
```
MgFeF2
1.0
5.908 0.000 0.000
0.000 5.908 0.000
0.000 0.000 9.300
Mg Fe F
4 4 8
direct
0.000 0.000 0.000
0.000 0.500 0.250
0.500 0.000 0.750
0.500 0.500 0.500
0.000 0.000 0.500
0.000 0.500 0.750
0.500 0.000 0.250
0.500 0.500 0.000
0.006 0.250 0.125
0.250 0.506 0.375
0.250 0.994 0.875
0.494 0.250 0.625
0.506 0.750 0.625
0.750 0.006 0.875
0.750 0.494 0.375
0.994 0.750 0.125
```

Results
Mass density, Mg/m³: 2.4
Total magnetic moment, μB per formula unit: 4.00
Volume, Å³ per cell: 324.6
DFT total energy, Ry/atom: -0.3323